First-principles (PBE-GGA) data for a relaxed structure of V2RuCl2, as listed in Alexandria.

Properties
The calculation puts the mass density at 6.38 g cm⁻³. Its crystal system is tetragonal. Its electronic total energy is -57.5 eV for the cell shown. Its uncorrected formation energy is 0.4869 eV/atom.

a = 7.0741 Å, b = 7.0741 Å, c = 2.8486 Å
α = 90.00°, β = 90.00°, γ = 90.00°
Element x y z (fractional)
Ru 0.5000 0.5000 0.0000
Ru 0.0000 0.0000 0.0000
Cl 0.3632 0.8632 0.0000
Cl 0.6368 0.1368 0.0000
V 0.1731 0.6731 0.5000
V 0.8269 0.3269 0.5000
V 0.3269 0.1731 0.5000
V 0.6731 0.8269 0.5000
Cl 0.1368 0.3632 0.0000
Cl 0.8632 0.6368 0.0000



First-principles (PBE-GGA) data for a relaxed structure of V2RuCl2, as listed in Alexandria.

Properties
The calculation puts the mass density at 5.89 g cm⁻³. Its crystal system is tetragonal. Its electronic total energy is -28.6 eV for the cell shown. Its uncorrected formation energy is 0.5277 eV/atom.

a = 4.1155 Å, b = 4.1155 Å, c = 5.4088 Å
α = 67.64°, β = 67.64°, γ = 90.00°
Element x y z (fractional)
V 0.2500 0.7500 0.5000
Ru 0.0000 0.0000 0.0000
Cl 0.3580 0.3580 0.2840
Cl 0.6420 0.6420 0.7160
V 0.7500 0.2500 0.5000



First-principles (PBE-GGA) data for a relaxed structure of V2RuCl, as listed in Alexandria.

Properties
The calculation puts the mass density at 6.48 g cm⁻³. Its crystal system is tetragonal. Its electronic total energy is -55.1 eV for the cell shown. Its uncorrected formation energy is 0.4569 eV/atom.

a = 6.3034 Å, b = 6.3034 Å, c = 5.4144 Å
α = 54.40°, β = 54.40°, γ = 90.00°
Element x y z (fractional)
V 0.6057 0.1250 0.2500
V 0.3750 0.3943 0.7500
V 0.8750 0.8557 0.7500
Cl 0.5000 0.5000 0.0000
Ru 0.0000 0.0000 0.0000
Ru 0.7500 0.2500 0.5000
Cl 0.2500 0.7500 0.5000
V 0.1443 0.6250 0.2500



First-principles (PBE-GGA) data for a relaxed structure of VRuCl3, as listed in Alexandria.

Properties
The calculation puts the mass density at 3.75 g cm⁻³. Its crystal system is cubic. Its electronic total energy is -23.1 eV for the cell shown. Its uncorrected formation energy is 0.1755 eV/atom.

a = 4.8556 Å, b = 4.8556 Å, c = 4.8556 Å
α = 90.00°, β = 90.00°, γ = 90.00°
Element x y z (fractional)
Cl 0.0000 0.5000 0.0000
V 0.0000 0.0000 0.0000
Cl 0.0000 0.0000 0.5000
Cl 0.5000 0.0000 0.0000
Ru 0.5000 0.5000 0.5000